(1)
Computed, not measured: a relaxed Mo2PtAu crystal at the GGA-PBE level of DFT.

Results
formation energy: 218 kJ/mol of formula units
final energy: -0.52772 Ry/atom
volume: 17.77 Å³/atom
calculated density: 13.6 g/cm³

Lattice parameters (Å, degrees): 7.3224 7.3224 5.3031 90.00 90.00 90.00
Closest atoms and distances in Å follow each position.
Space group I-42d (No. 122)
Asymmetric unit:
Mo: 0.2274 0.7500 0.1250 [8 per cell]  2 Pt 2.56, 2 Mo 2.67, 2 Au 2.79
Pt: 0.0000 0.0000 0.0000 [4 per cell]  4 Mo 2.56, 2 Au 2.65
Au: 0.0000 0.0000 0.5000 [4 per cell]  2 Pt 2.65, 4 Mo 2.79

---

(2)
Computed, not measured: a relaxed Mo2PtAu crystal at the GGA-PBE level of DFT.

Results
formation energy: 96 kJ/mol of formula units
final energy: -0.55094 Ry/atom
volume: 16.35 Å³/atom
calculated density: 14.8 g/cm³

Lattice parameters (Å, degrees): 6.3962 6.3962 6.3962 90.00 90.00 90.00
Closest atoms and distances in Å follow each position.
Space group F-43m (No. 216)
Asymmetric unit:
Mo: 0.0000 0.0000 0.0000 [4 per cell]  4 Mo 2.77, 4 Pt 2.77
Mo: 0.2500 0.2500 0.2500 [4 per cell]  4 Mo 2.77, 4 Au 2.77
Pt: 0.2500 0.2500 0.7500 [4 per cell]  4 Mo 2.77, 4 Au 2.77
Au: 0.0000 0.0000 0.5000 [4 per cell]  4 Mo 2.77, 4 Pt 2.77